No. 1
A relaxed structure of GeSbIr2, computed with PBE.

- D(E_F): 1.69 states/eV/f.u.
- V: 187.3 Å³/cell
- E_form (uncorrected): 175 meV/atom
- Distance to the lowest polymorph of the same formula: 0.00 eV per formula unit
- Symmetry: No. 122
- Total magnetic moment: 0.00 μB per formula unit

a = 5.6702 Å, b = 5.6702 Å, c = 7.0717 Å
α = 66.37°, β = 66.37°, γ = 90.00°
Last column: nearest neighbours and their distance in Å.
Fractional coordinates of all 8 atoms:
1 Sb 0.7500 0.2500 0.5000  4 Ir 2.56
2 Sb 0.0000 0.0000 0.0000  4 Ir 2.56
3 Ge 0.2500 0.7500 0.5000  4 Ir 2.40
4 Ge 0.5000 0.5000 0.0000  4 Ir 2.40
5 Ir 0.1507 0.6250 0.2500  2 Ge 2.40, 2 Sb 2.56
6 Ir 0.5993 0.1250 0.2500  2 Ge 2.40, 2 Sb 2.56
7 Ir 0.3750 0.4007 0.7500  2 Ge 2.40, 2 Sb 2.56
8 Ir 0.8750 0.8493 0.7500  2 Ge 2.40, 2 Sb 2.56

No. 2
A relaxed structure of GeSb3Ir, computed with PBE.

- D(E_F): 4.09 states/eV/f.u.
- V: 135.5 Å³/cell
- E_form (uncorrected): 1310 meV/atom
- Distance to the lowest polymorph of the same formula: 6.65 eV per formula unit
- Symmetry: No. 221
- Total magnetic moment: 0.00 μB per formula unit

a = 5.1359 Å, b = 5.1359 Å, c = 5.1359 Å
α = 90.00°, β = 90.00°, γ = 90.00°
Last column: nearest neighbours and their distance in Å.
Fractional coordinates of all 5 atoms:
1 Sb 0.0000 0.0000 0.5000  2 Ge 2.57
2 Sb 0.0000 0.5000 0.0000  2 Ge 2.57
3 Sb 0.5000 0.0000 0.0000  2 Ge 2.57
4 Ir 0.5000 0.5000 0.5000  12 Sb 3.63
5 Ge 0.0000 0.0000 0.0000  6 Sb 2.57

No. 3
A relaxed structure of GeSbIr, computed with PBE.

- D(E_F): 1.97 states/eV/f.u.
- V: 246.8 Å³/cell
- E_form (uncorrected): -107 meV/atom
- Distance to the lowest polymorph of the same formula: 0.57 eV per formula unit
- Symmetry: No. 198
- Total magnetic moment: 0.00 μB per formula unit

a = 6.2726 Å, b = 6.2726 Å, c = 6.2726 Å
α = 90.00°, β = 90.00°, γ = 90.00°
Last column: nearest neighbours and their distance in Å.
Fractional coordinates of all 12 atoms:
1 Ge 0.3738 0.1262 0.8738  3 Ir 2.49
2 Ge 0.8738 0.3738 0.1262  3 Ir 2.49
3 Ge 0.1262 0.8738 0.3738  3 Ir 2.49
4 Ge 0.6262 0.6262 0.6262  3 Ir 2.49
5 Sb 0.8648 0.1352 0.6352  3 Ir 2.70, 1 Ge 2.84
6 Sb 0.6352 0.8648 0.1352  3 Ir 2.70, 1 Ge 2.84
7 Sb 0.1352 0.6352 0.8648  3 Ir 2.70, 1 Ge 2.84
8 Sb 0.3648 0.3648 0.3648  3 Ir 2.70, 1 Ge 2.84
9 Ir 0.0200 0.0200 0.0200  3 Ge 2.49, 3 Sb 2.70
10 Ir 0.9800 0.5200 0.4800  3 Ge 2.49, 3 Sb 2.70
11 Ir 0.5200 0.4800 0.9800  3 Ge 2.49, 3 Sb 2.70
12 Ir 0.4800 0.9800 0.5200  3 Ge 2.49, 3 Sb 2.70

No. 4
A relaxed structure of GeSbIr, computed with PBE.

- D(E_F): 2.04 states/eV/f.u.
- V: 63.1 Å³/cell
- E_form (uncorrected): -4 meV/atom
- Distance to the lowest polymorph of the same formula: 0.88 eV per formula unit
- Symmetry: No. 156
- Total magnetic moment: 0.00 μB per formula unit

a = 5.4749 Å, b = 3.6486 Å, c = 3.6486 Å
α = 120.00°, β = 90.00°, γ = 90.00°
Last column: nearest neighbours and their distance in Å.
Fractional coordinates of all 3 atoms:
1 Ir 0.3126 0.6667 0.3333  3 Ge 2.50, 3 Sb 2.70
2 Sb 0.6203 0.3333 0.6667  3 Ir 2.70
3 Ge 0.0671 0.0000 0.0000  3 Ir 2.50

No. 5
A relaxed structure of GeSbIr2, computed with PBE.

- D(E_F): 4.73 states/eV/f.u.
- V: 67.1 Å³/cell
- E_form (uncorrected): 224 meV/atom
- Distance to the lowest polymorph of the same formula: 0.19 eV per formula unit
- Symmetry: No. 225
- Total magnetic moment: 0.00 μB per formula unit

a = 4.5604 Å, b = 4.5604 Å, c = 4.5604 Å
α = 60.00°, β = 60.00°, γ = 60.00°
Last column: nearest neighbours and their distance in Å.
Fractional coordinates of all 4 atoms:
1 Sb 0.5000 0.5000 0.5000  8 Ir 2.79
2 Ge 0.0000 0.0000 0.0000  8 Ir 2.79
3 Ir 0.2500 0.2500 0.2500  4 Ge 2.79, 4 Sb 2.79
4 Ir 0.7500 0.7500 0.7500  4 Ge 2.79, 4 Sb 2.79

No. 6
A relaxed structure of GeSb3Ir, computed with PBE.

- D(E_F): 2.32 states/eV/f.u.
- V: 490.8 Å³/cell
- E_form (uncorrected): -19 meV/atom
- Distance to the lowest polymorph of the same formula: 0.00 eV per formula unit
- Symmetry: No. 15
- Total magnetic moment: 0.00 μB per formula unit

a = 6.9540 Å, b = 6.9540 Å, c = 11.9693 Å
α = 76.29°, β = 76.29°, γ = 61.91°
Last column: nearest neighbours and their distance in Å.
Fractional coordinates of all 20 atoms:
1 Sb 0.7649 0.1483 0.0426  2 Ir 2.68, 1 Ge 2.73
2 Sb 0.2132 0.1084 0.1917  2 Ir 2.65-2.66, 2 Ge 2.76-2.85
3 Sb 0.2648 0.3778 0.8614  2 Ir 2.73-2.74, 1 Ge 2.80
4 Sb 0.2351 0.8517 0.9574  2 Ir 2.68, 1 Ge 2.73
5 Sb 0.6222 0.7352 0.6386  2 Ir 2.73-2.74, 1 Ge 2.80
6 Sb 0.7868 0.8916 0.8083  2 Ir 2.65-2.66, 2 Ge 2.76-2.85
7 Sb 0.7352 0.6222 0.1386  2 Ir 2.73-2.74, 1 Ge 2.80
8 Sb 0.3778 0.2648 0.3614  2 Ir 2.73-2.74, 1 Ge 2.80
9 Sb 0.8916 0.7868 0.3083  2 Ir 2.65-2.66, 2 Ge 2.76-2.85
10 Sb 0.8517 0.2351 0.4574  2 Ir 2.68, 1 Ge 2.73
11 Sb 0.1084 0.2132 0.6917  2 Ir 2.65-2.66, 2 Ge 2.76-2.85
12 Sb 0.1483 0.7649 0.5426  2 Ir 2.68, 1 Ge 2.73
13 Ir 0.2148 0.7852 0.7500  6 Sb 2.66-2.73
14 Ir 0.7852 0.2148 0.2500  6 Sb 2.66-2.73
15 Ir 0.5000 0.0000 0.0000  6 Sb 2.65-2.74
16 Ir 0.0000 0.5000 0.5000  6 Sb 2.65-2.74
17 Ge 0.8298 0.4527 0.8671  4 Sb 2.73-2.85
18 Ge 0.5473 0.1702 0.6329  4 Sb 2.73-2.85
19 Ge 0.4527 0.8298 0.3671  4 Sb 2.73-2.85
20 Ge 0.1702 0.5473 0.1329  4 Sb 2.73-2.85

No. 7
A relaxed structure of GeSb3Ir, computed with PBE.

- D(E_F): 6.92 states/eV/f.u.
- V: 140.7 Å³/cell
- E_form (uncorrected): 603 meV/atom
- Distance to the lowest polymorph of the same formula: 3.11 eV per formula unit
- Symmetry: No. 221
- Total magnetic moment: 0.00 μB per formula unit

a = 5.2005 Å, b = 5.2005 Å, c = 5.2005 Å
α = 90.00°, β = 90.00°, γ = 90.00°
Last column: nearest neighbours and their distance in Å.
Fractional coordinates of all 5 atoms:
1 Ir 0.0000 0.0000 0.0000  6 Sb 2.60
2 Ge 0.5000 0.5000 0.5000  12 Sb 3.68
3 Sb 0.5000 0.0000 0.0000  2 Ir 2.60
4 Sb 0.0000 0.5000 0.0000  2 Ir 2.60
5 Sb 0.0000 0.0000 0.5000  2 Ir 2.60

No. 8
A relaxed structure of Ge2SbIr2, computed with PBE.

- D(E_F): 2.42 states/eV/f.u.
- V: 90.9 Å³/cell
- E_form (uncorrected): -54 meV/atom
- Distance to the lowest polymorph of the same formula: 0.00 eV per formula unit
- Symmetry: No. 139
- Total magnetic moment: 0.00 μB per formula unit

a = 3.8953 Å, b = 3.8953 Å, c = 6.5913 Å
α = 72.81°, β = 72.81°, γ = 90.00°
Last column: nearest neighbours and their distance in Å.
Fractional coordinates of all 5 atoms:
1 Ir 0.3805 0.3805 0.2391  4 Ge 2.50
2 Ir 0.6195 0.6195 0.7609  4 Ge 2.50
3 Ge 0.7500 0.2500 0.5000  4 Ir 2.50, 4 Ge 2.75
4 Ge 0.2500 0.7500 0.5000  4 Ir 2.50, 4 Ge 2.75
5 Sb 0.0000 0.0000 0.0000  8 Ir 3.10

No. 9
A relaxed structure of GeSb2Ir, computed with PBE.

- D(E_F): 3.33 states/eV/f.u.
- V: 228.0 Å³/cell
- E_form (uncorrected): 155 meV/atom
- Symmetry: No. 122
- Total magnetic moment: 0.00 μB per formula unit

a = 6.0864 Å, b = 6.0864 Å, c = 7.5094 Å
α = 66.09°, β = 66.09°, γ = 90.00°
Last column: nearest neighbours and their distance in Å.
Fractional coordinates of all 8 atoms:
1 Sb 0.3750 0.3481 0.7500  2 Ir 2.55, 2 Ge 2.74
2 Sb 0.0981 0.6250 0.2500  2 Ir 2.55, 2 Ge 2.74
3 Sb 0.8750 0.9019 0.7500  2 Ir 2.55, 2 Ge 2.74
4 Sb 0.6519 0.1250 0.2500  2 Ir 2.55, 2 Ge 2.74
5 Ir 0.7500 0.2500 0.5000  4 Sb 2.55
6 Ir 0.0000 0.0000 0.0000  4 Sb 2.55
7 Ge 0.2500 0.7500 0.5000  4 Sb 2.74
8 Ge 0.5000 0.5000 0.0000  4 Sb 2.74

No. 10
A relaxed structure of Ge2SbIr2, computed with PBE.

- D(E_F): 2.41 states/eV/f.u.
- V: 170.8 Å³/cell
- E_form (uncorrected): -30 meV/atom
- Distance to the lowest polymorph of the same formula: 0.12 eV per formula unit
- Symmetry: No. 127
- Total magnetic moment: 0.00 μB per formula unit

a = 7.6339 Å, b = 7.6339 Å, c = 2.9305 Å
α = 90.00°, β = 90.00°, γ = 90.00°
Last column: nearest neighbours and their distance in Å.
Fractional coordinates of all 10 atoms:
1 Ge 0.8541 0.3541 0.5000  6 Ir 2.66-2.70, 2 Ge 2.93
2 Ge 0.6459 0.8541 0.5000  6 Ir 2.66-2.70, 2 Ge 2.93
3 Ge 0.1459 0.6459 0.5000  6 Ir 2.66-2.70, 2 Ge 2.93
4 Ge 0.3541 0.1459 0.5000  6 Ir 2.66-2.70, 2 Ge 2.93
5 Ir 0.3556 0.8556 0.0000  6 Ge 2.66-2.70, 2 Sb 2.93, 2 Ir 2.93
6 Ir 0.8556 0.6444 0.0000  6 Ge 2.66-2.70, 2 Sb 2.93, 2 Ir 2.93
7 Ir 0.6444 0.1444 0.0000  6 Ge 2.66-2.70, 2 Sb 2.93, 2 Ir 2.93
8 Ir 0.1444 0.3556 0.0000  6 Ge 2.66-2.70, 2 Sb 2.93, 2 Ir 2.93
9 Sb 0.5000 0.5000 0.0000  4 Ir 2.93, 2 Sb 2.93, 8 Ge 3.27
10 Sb 0.0000 0.0000 0.0000  4 Ir 2.93, 2 Sb 2.93, 8 Ge 3.27

No. 11
A relaxed structure of Sr2Ge3SbIr4, computed with PBE.

- D(E_F): 5.55 states/eV/f.u.
- V: 200.7 Å³/cell
- E_form (uncorrected): -559 meV/atom
- Symmetry: No. 115
- Total magnetic moment: 0.00 μB per formula unit

a = 4.3889 Å, b = 4.3889 Å, c = 10.4168 Å
α = 90.00°, β = 90.00°, γ = 90.00°
Last column: nearest neighbours and their distance in Å.
Fractional coordinates of all 10 atoms:
1 Ge 0.0000 0.5000 0.1242  5 Ir 2.53-2.55
2 Ge 0.0000 0.0000 0.5000  4 Ir 2.60
3 Ge 0.5000 0.0000 0.8758  5 Ir 2.53-2.55
4 Sb 0.5000 0.5000 0.5000  4 Ir 2.60
5 Ir 0.0000 0.5000 0.3666  3 Ge 2.53-2.60, 2 Sb 2.60
6 Ir 0.0000 0.0000 0.0000  4 Ge 2.55
7 Ir 0.5000 0.5000 0.0000  4 Ge 2.55
8 Ir 0.5000 0.0000 0.6334  3 Ge 2.53-2.60, 2 Sb 2.60
9 Sr 0.0000 0.5000 0.7550  6 Ge 3.35-3.45, 8 Ir 3.35-3.37, 2 Sb 3.45
10 Sr 0.5000 0.0000 0.2450  6 Ge 3.35-3.45, 8 Ir 3.35-3.37, 2 Sb 3.45

No. 12
A relaxed structure of Sr2GeSb3Ir4, computed with PBE.

- D(E_F): 4.98 states/eV/f.u.
- V: 217.1 Å³/cell
- E_form (uncorrected): -519 meV/atom
- Symmetry: No. 115
- Total magnetic moment: 0.00 μB per formula unit

a = 4.4662 Å, b = 4.4662 Å, c = 10.8847 Å
α = 90.00°, β = 90.00°, γ = 90.00°
Last column: nearest neighbours and their distance in Å.
Fractional coordinates of all 10 atoms:
1 Ge 0.5000 0.5000 0.5000  4 Ir 2.59
2 Sb 0.5000 0.0000 0.8637  5 Ir 2.64-2.68
3 Sb 0.0000 0.5000 0.1363  5 Ir 2.64-2.68
4 Sb 0.0000 0.0000 0.5000  4 Ir 2.59
5 Sr 0.0000 0.5000 0.7422  8 Ir 3.42-3.59, 6 Sb 3.42-3.45, 2 Ge 3.45
6 Sr 0.5000 0.0000 0.2578  8 Ir 3.42-3.59, 6 Sb 3.42-3.45, 2 Ge 3.45
7 Ir 0.0000 0.5000 0.3787  2 Ge 2.59, 3 Sb 2.59-2.64
8 Ir 0.5000 0.0000 0.6213  2 Ge 2.59, 3 Sb 2.59-2.64
9 Ir 0.5000 0.5000 0.0000  4 Sb 2.68
10 Ir 0.0000 0.0000 0.0000  4 Sb 2.68